(1)
VASP calculation (PBE) on a geometry-optimized Nd3Y2Tm6Sc structure.

Unit cell a=6.1279 b=6.1279 c=11.6648 alpha=95.02 beta=95.02 gamma=119.97
Closest atoms and distances in Å follow each position.
Sites, in units of the cell vectors:
Nd: 0.0000 0.0000 0.0000  6 Nd 3.54, 6 Tm 3.57-3.58
Nd: 0.3334 0.6666 0.0000  6 Nd 3.54, 6 Tm 3.56-3.59
Nd: 0.6666 0.3334 0.0000  6 Nd 3.54, 6 Tm 3.56-3.59
Y: 0.1664 0.8336 0.5000  6 Tm 3.48, 3 Y 3.53-3.54, 3 Sc 3.54
Y: 0.8336 0.1664 0.5000  6 Tm 3.48, 3 Y 3.53-3.54, 3 Sc 3.54
Tm: 0.0890 0.4192 0.2552  1 Sc 3.46, 2 Y 3.48, 6 Tm 3.50-3.56, 3 Nd 3.56-3.59
Tm: 0.2506 0.2506 0.7450  1 Sc 3.47, 2 Y 3.48, 6 Tm 3.51-3.56, 3 Nd 3.57-3.58
Tm: 0.4192 0.0890 0.2552  1 Sc 3.46, 2 Y 3.48, 6 Tm 3.50-3.56, 3 Nd 3.56-3.59
Tm: 0.5808 0.9110 0.7448  1 Sc 3.46, 2 Y 3.48, 6 Tm 3.50-3.56, 3 Nd 3.56-3.59
Tm: 0.7494 0.7494 0.2550  1 Sc 3.47, 2 Y 3.48, 6 Tm 3.51-3.56, 3 Nd 3.57-3.58
Tm: 0.9110 0.5808 0.7448  1 Sc 3.46, 2 Y 3.48, 6 Tm 3.50-3.56, 3 Nd 3.56-3.59
Sc: 0.5000 0.5000 0.5000  6 Tm 3.46-3.47, 6 Y 3.54

Properties
Volume = 373.6 Å³/cell
Energy relative to the elements = 0.0346 eV per atom
M_tot = 0.000 μB per atom
Raw total energy = -4.998 eV/atom



(2)
VASP calculation (PBE) on a geometry-optimized NdY2Tm5Sc structure.

Unit cell a=10.1339 b=10.1339 c=10.3421 alpha=90.00 beta=90.00 gamma=148.26
Closest atoms and distances in Å follow each position.
Sites, in units of the cell vectors:
Nd: 0.0851 0.9149 0.5000  5 Tm 3.00-3.19
Nd: 0.9149 0.0851 0.0000  5 Tm 3.00-3.19
Y: 0.3868 0.6132 0.7785  1 Sc 3.34, 7 Tm 3.39-3.61, 2 Nd 3.64
Y: 0.3891 0.6109 0.3614  9 Tm 3.26-3.52, 1 Sc 3.56
Y: 0.6109 0.3891 0.8614  9 Tm 3.26-3.52, 1 Sc 3.56
Y: 0.6132 0.3868 0.2785  1 Sc 3.34, 7 Tm 3.39-3.61, 2 Nd 3.64
Tm: 0.0192 0.9808 0.7828  2 Nd 3.03-3.19
Tm: 0.1211 0.8789 0.0653  4 Y 3.49-3.54, 1 Sc 3.53, 6 Tm 3.53-3.90
Tm: 0.2020 0.7980 0.7510  4 Tm 3.36-3.61, 3 Sc 3.41-3.74, 1 Nd 3.45, 3 Y 3.48-3.61
Tm: 0.2218 0.7782 0.3662  1 Nd 3.00, 1 Y 3.26
Tm: 0.4801 0.5199 0.0673  2 Nd 3.13, 3 Y 3.32-3.50, 1 Sc 3.47
Tm: 0.5199 0.4801 0.5673  2 Nd 3.13, 3 Y 3.32-3.50, 1 Sc 3.47
Tm: 0.7782 0.2218 0.8662  1 Nd 3.00, 1 Y 3.26
Tm: 0.7980 0.2020 0.2510  4 Tm 3.36-3.61, 3 Sc 3.41-3.74, 1 Nd 3.45, 3 Y 3.48-3.61
Tm: 0.8789 0.1211 0.5653  4 Y 3.49-3.54, 1 Sc 3.53, 6 Tm 3.53-3.90
Tm: 0.9808 0.0192 0.2828  2 Nd 3.03-3.19
Sc: 0.3020 0.6980 0.0591  2 Y 3.34-3.56, 8 Tm 3.41-3.74, 2 Nd 3.59
Sc: 0.6980 0.3020 0.5591  2 Y 3.34-3.56, 8 Tm 3.41-3.74, 2 Nd 3.59

Properties
Volume = 558.7 Å³/cell
Energy relative to the elements = 0.1740 eV per atom
M_tot = 0.000 μB per atom
Raw total energy = -4.980 eV/atom



(3)
VASP calculation (PBE) on a geometry-optimized Nd6YTmSc2 structure.

Unit cell a=8.8291 b=8.8291 c=9.5395 alpha=94.07 beta=94.07 gamma=118.14
Closest atoms and distances in Å follow each position.
Sites, in units of the cell vectors:
Nd: 0.0094 0.5600 0.1859  5 Nd 3.30-3.68, 1 Tm 3.42, 2 Sc 3.44-3.65, 1 Y 3.58
Nd: 0.1138 0.7634 0.5513  1 Sc 3.40, 7 Nd 3.40-3.80, 2 Y 3.61-3.75
Nd: 0.2366 0.8862 0.9487  1 Sc 3.40, 7 Nd 3.40-3.80, 2 Y 3.61-3.75
Nd: 0.2973 0.5032 0.3824  3 Sc 3.22-3.39, 3 Nd 3.30-3.40, 2 Tm 3.35-3.50
Nd: 0.4400 0.9906 0.3141  5 Nd 3.30-3.68, 1 Tm 3.42, 2 Sc 3.44-3.65, 1 Y 3.58
Nd: 0.4968 0.7027 0.1176  3 Sc 3.22-3.39, 3 Nd 3.30-3.40, 2 Tm 3.35-3.50
Nd: 0.5032 0.2973 0.8824  3 Sc 3.22-3.39, 3 Nd 3.30-3.40, 2 Tm 3.35-3.50
Nd: 0.5600 0.0094 0.6859  5 Nd 3.30-3.68, 1 Tm 3.42, 2 Sc 3.44-3.65, 1 Y 3.58
Nd: 0.7027 0.4968 0.6176  3 Sc 3.22-3.39, 3 Nd 3.30-3.40, 2 Tm 3.35-3.50
Nd: 0.7634 0.1138 0.0513  1 Sc 3.40, 7 Nd 3.40-3.80, 2 Y 3.61-3.75
Nd: 0.8862 0.2366 0.4487  1 Sc 3.40, 7 Nd 3.40-3.80, 2 Y 3.61-3.75
Nd: 0.9906 0.4400 0.8141  5 Nd 3.30-3.68, 1 Tm 3.42, 2 Sc 3.44-3.65, 1 Y 3.58
Y: 0.0271 0.9729 0.2500  4 Sc 3.38-3.39, 6 Nd 3.58-3.75
Y: 0.9729 0.0271 0.7500  4 Sc 3.38-3.39, 6 Nd 3.58-3.75
Tm: 0.4106 0.5894 0.7500  6 Nd 3.35-3.50, 2 Sc 3.49
Tm: 0.5894 0.4106 0.2500  6 Nd 3.35-3.50, 2 Sc 3.49
Sc: 0.1987 0.2996 0.0474  5 Nd 3.22-3.44, 2 Y 3.38-3.39, 1 Tm 3.49
Sc: 0.2996 0.1987 0.5474  5 Nd 3.22-3.44, 2 Y 3.38-3.39, 1 Tm 3.49
Sc: 0.7004 0.8013 0.4526  5 Nd 3.22-3.44, 2 Y 3.38-3.39, 1 Tm 3.49
Sc: 0.8013 0.7004 0.9526  5 Nd 3.22-3.44, 2 Y 3.38-3.39, 1 Tm 3.49

Properties
Volume = 649.4 Å³/cell
Energy relative to the elements = 0.1229 eV per atom
M_tot = 0.000 μB per atom
Raw total energy = -5.098 eV/atom